Density functional theory data (PBE-GGA) for Ag2BMo after structural relaxation.

Calculated values
**Energy**: -19.4 eV per formula unit
**ρ**: 8.69 g cm⁻³
**Formation energy from the elements**: 91 kJ/mol of atoms
**Crystal system**: tetragonal

CIF file:
```
data_Ag2BMo
_space_group_name_H-M_alt 'I -4 2 d'
_space_group_IT_number 122
_space_group_name_Hall 'I -4 2bw'
_cell_length_a 7.282
_cell_length_b 7.282
_cell_length_c 4.650
_cell_angle_alpha 90.00
_cell_angle_beta 90.00
_cell_angle_gamma 90.00
loop_
_atom_site_label
_atom_site_fract_x
_atom_site_fract_y
_atom_site_fract_z
_atom_site_occupancy
Ag1 0.161 0.250 0.125 1
B1 0.000 0.000 0.000 1
Mo1 0.000 0.000 0.500 1
```